This record from Alexandria via LeMat-Bulk describes CaZrPa2S8 after structural relaxation. The functional is PBE-GGA.

Structure (POSCAR):
```
CaZrPa2S8
1.0
6.312 0.037 -0.004
0.088 6.073 -0.007
0.005 0.009 8.212
Ca Zr Pa S
1 1 2 8
Direct
0.000 0.000 0.500
0.000 0.000 0.000
0.500 0.500 0.751
0.500 0.500 0.249
0.175 0.775 0.228
0.675 0.722 0.000
0.825 0.225 0.228
0.825 0.225 0.772
0.325 0.278 0.000
0.175 0.775 0.772
0.655 0.713 0.500
0.345 0.287 0.500
```

Values from the calculation:
- SG = P2/m (10)
- ΔE_f (raw) (eV/atom) = -1.54

This record from Alexandria via LeMat-Bulk describes CaPaSb2 after structural relaxation. The functional is PBE-GGA.

Structure (POSCAR):
```
CaPaSb2
1.0
-4.037 -1.268 1.347
-2.488 -2.609 -2.593
0.744 -7.224 2.751
Sb Ca Pa
2 1 1
Direct
0.254 0.254 0.238
0.746 0.746 0.762
0.500 0.500 0.500
0.000 0.000 0.000
```

Values from the calculation:
- SG = R-3m (166)
- polymorph energy (0 for the lowest one) (eV per atom) = 0.000
- ΔE_f (raw) (eV/atom) = -0.72
- DOS at the Fermi energy (states/eV/atom) = 1.37

This record from Alexandria via LeMat-Bulk describes CaPa4Sb5 after structural relaxation. The functional is PBE-GGA.

Structure (POSCAR):
```
CaPa4Sb5
1.0
4.274 0.000 -0.824
-0.319 5.957 -1.654
0.040 0.032 11.697
Ca Pa Sb
1 4 5
Direct
0.000 0.000 0.000
0.400 0.400 0.799
0.798 0.798 0.595
0.202 0.202 0.405
0.600 0.600 0.201
0.603 0.103 0.205
0.801 0.301 0.602
0.199 0.699 0.398
0.000 0.500 0.000
0.397 0.897 0.795
```

Values from the calculation:
- SG = Immm (71)
- ΔE_f (raw) (eV/atom) = -0.55
- DOS at the Fermi energy (states/eV/atom) = 1.71